[1]
VASP calculation (PBE-GGA) on LiHfFeAs after structural relaxation.

```
LiHfFeAs
1.0
6.0964 0.0000 0.0000
0.0000 6.0964 0.0000
0.0000 0.0000 6.0964
Li Hf Fe As
4 4 4 4
Cartesian
0.0000 0.0000 0.0000
0.0000 3.0482 3.0482
3.0482 0.0000 3.0482
3.0482 3.0482 0.0000
1.5241 1.5241 4.5723
1.5241 4.5723 1.5241
4.5723 1.5241 1.5241
4.5723 4.5723 4.5723
1.5241 1.5241 1.5241
1.5241 4.5723 4.5723
4.5723 1.5241 4.5723
4.5723 4.5723 1.5241
0.0000 0.0000 3.0482
0.0000 3.0482 0.0000
3.0482 0.0000 0.0000
3.0482 3.0482 3.0482
```

The magnetization is 0.008 Bohr magnetons per cell. The value obtained for the total DFT energy (no corrections) is -6.233 eV/atom. The calculated volume comes out at 226.58 Å³ per cell.



[2]
VASP calculation (PBE-GGA) on LuHfFeAs after structural relaxation.

```
LuHfFeAs
1.0
6.5684 0.0000 0.0000
0.0000 6.5684 0.0000
0.0000 0.0000 6.5684
Lu Hf Fe As
4 4 4 4
Cartesian
0.0000 0.0000 0.0000
0.0000 3.2842 3.2842
3.2842 0.0000 3.2842
3.2842 3.2842 0.0000
1.6421 1.6421 4.9263
1.6421 4.9263 1.6421
4.9263 1.6421 1.6421
4.9263 4.9263 4.9263
0.0000 0.0000 3.2842
0.0000 3.2842 0.0000
3.2842 0.0000 0.0000
3.2842 3.2842 3.2842
1.6421 1.6421 1.6421
1.6421 4.9263 4.9263
4.9263 1.6421 4.9263
4.9263 4.9263 1.6421
```

The magnetization is 2.437 Bohr magnetons per cell. The value obtained for the total DFT energy (no corrections) is -6.691 eV/atom. The calculated volume comes out at 283.39 Å³ per cell.



[3]
VASP calculation (PBE-GGA) on HfFeMoAs after structural relaxation.

```
HfFeMoAs
1.0
6.2261 0.0000 0.0000
0.0000 6.2261 0.0000
0.0000 0.0000 6.2261
Hf Fe Mo As
4 4 4 4
Cartesian
0.0000 0.0000 0.0000
0.0000 3.1131 3.1131
3.1131 0.0000 3.1131
3.1131 3.1131 0.0000
1.5565 1.5565 4.6696
1.5565 4.6696 1.5565
4.6696 1.5565 1.5565
4.6696 4.6696 4.6696
1.5565 1.5565 1.5565
1.5565 4.6696 4.6696
4.6696 1.5565 4.6696
4.6696 4.6696 1.5565
0.0000 0.0000 3.1131
0.0000 3.1131 0.0000
3.1131 0.0000 0.0000
3.1131 3.1131 3.1131
```

The magnetization is 3.865 Bohr magnetons per cell. The value obtained for the total DFT energy (no corrections) is -8.421 eV/atom. The calculated volume comes out at 241.36 Å³ per cell.